# 1
Entry from the Alexandria database: a relaxed Ba2TlHgOs crystal (PBE).

ΔH_f (0 K) in meV per atom: 306.8
SG: No. 123
Fermi-level density of states in states/eV/atom: 0.730
Magnetization in μB/f.u.: 0.0
Density in g/cm3: 7.83

Cell: 5.854 5.854 5.384 Å, 90.00 90.00 90.00°
Positions (direct):
Ba: 0.000 0.500 0.000
Ba: 0.500 0.000 0.000
Tl: 0.000 0.000 0.500
Hg: 0.500 0.500 0.500
Os: 0.500 0.500 0.000

# 2
Entry from the Alexandria database: a relaxed LiTm2CuS4 crystal (PBE).

Formation energy from raw total energies in eV per atom: -1.5345
SG: No. 10
Magnetization in μB/f.u.: 0.0
Density in g/cm3: 5.80

Cell: 6.465 3.828 6.722 Å, 90.00 112.57 90.00°
Positions (direct):
Li: 0.000 0.000 0.000
Tm: 0.500 0.000 0.500
Tm: 0.500 0.500 0.000
Cu: 0.000 0.500 0.500
S: 0.239 0.000 0.736
S: 0.249 0.500 0.240
S: 0.751 0.500 0.760
S: 0.761 0.000 0.264

# 3
Entry from the Alexandria database: a relaxed BaSr2Pb crystal (PBE).

ΔH_f (0 K) in meV per atom: -262.0
SG: No. 99
Fermi-level density of states in states/eV/atom: 1.053
Magnetization in μB/f.u.: 0.0
Density in g/cm3: 4.55

Cell: 4.347 4.347 10.043 Å, 90.00 90.00 90.00°
Positions (direct):
Ba: 0.000 0.000 0.000
Sr: 0.000 0.000 0.378
Sr: 0.500 0.500 0.673
Pb: 0.500 0.500 0.206

# 4
Entry from the Alexandria database: a relaxed Hf2HIrOs crystal (PBE).

Final energy in eV per atom: -9.225
SG: No. 123
Fermi-level density of states in states/eV/atom: 0.501
Magnetization in μB/f.u.: 0.0
Density in g/cm3: 17.08

Cell: 4.440 4.440 3.653 Å, 90.00 90.00 90.00°
Positions (direct):
Hf: 0.000 0.500 0.000
Hf: 0.500 0.000 0.000
H: 0.000 0.000 0.000
Ir: 0.000 0.000 0.500
Os: 0.500 0.500 0.500

# 5
Entry from the Alexandria database: a relaxed Rb2CuPbI5 crystal (PBE).

Formation energy from raw total energies in eV per atom: -0.9075
SG: No. 36
Fermi-level density of states in states/eV/atom: 0.000
Magnetization in μB/f.u.: 0.0
Density in g/cm3: 4.59

Cell: 10.955 10.955 15.546 Å, 90.00 90.00 155.32°
Positions (direct):
Rb: 0.115 0.885 0.500
Rb: 0.121 0.879 0.144
Rb: 0.879 0.121 0.644
Rb: 0.885 0.115 0.000
Cu: 0.442 0.558 0.234
Cu: 0.558 0.442 0.734
Pb: 0.196 0.804 0.834
Pb: 0.804 0.196 0.334
I: 0.043 0.957 0.816
I: 0.297 0.703 0.480
I: 0.312 0.688 0.186
I: 0.345 0.655 0.822
I: 0.499 0.501 0.086
I: 0.501 0.499 0.586
I: 0.655 0.345 0.322
I: 0.688 0.312 0.686
I: 0.703 0.297 0.980
I: 0.957 0.043 0.316

# 6
Entry from the Alexandria database: a relaxed MoPdPt3 crystal (PBE).

ΔH_f (0 K) in meV per atom: 1662.7
SG: No. 221
Fermi-level density of states in states/eV/atom: 1.837
Magnetization in μB/f.u.: 3.2
Density in g/cm3: 11.91

Cell: 4.789 4.789 4.789 Å, 90.00 90.00 90.00°
Positions (direct):
Mo: 0.000 0.000 0.000
Pd: 0.500 0.500 0.500
Pt: 0.000 0.500 0.500
Pt: 0.500 0.000 0.500
Pt: 0.500 0.500 0.000

# 7
Entry from the Alexandria database: a relaxed TbTmMgIn crystal (PBE).

ΔH_f (0 K) in meV per atom: -308.5
SG: No. 216
Fermi-level density of states in states/eV/atom: 0.693
Magnetization in μB/f.u.: 0.0
Density in g/cm3: 7.41

Cell: 7.481 7.481 7.481 Å, 90.00 90.00 90.00°
Positions (direct):
Tb: 0.000 0.000 0.000
Tb: 0.000 0.500 0.500
Tb: 0.500 0.000 0.500
Tb: 0.500 0.500 0.000
Tm: 0.000 0.000 0.500
Tm: 0.000 0.500 0.000
Tm: 0.500 0.000 0.000
Tm: 0.500 0.500 0.500
Mg: 0.250 0.250 0.250
Mg: 0.250 0.750 0.750
Mg: 0.750 0.250 0.750
Mg: 0.750 0.750 0.250
In: 0.250 0.250 0.750
In: 0.250 0.750 0.250
In: 0.750 0.250 0.250
In: 0.750 0.750 0.750

# 8
Entry from the Alexandria database: a relaxed La4BiTeC crystal (PBE).

Formation energy from raw total energies in eV per atom: -0.7413
SG: No. 63
Fermi-level density of states in states/eV/atom: 1.050
Magnetization in μB/f.u.: 0.0
Density in g/cm3: 6.83

Cell: 9.122 9.122 7.255 Å, 90.00 90.00 133.23°
Positions (direct):
La: 0.000 0.500 0.000
La: 0.000 0.500 0.500
La: 0.093 0.907 0.750
La: 0.405 0.595 0.750
La: 0.500 0.000 0.000
La: 0.500 0.000 0.500
La: 0.595 0.405 0.250
La: 0.907 0.093 0.250
Bi: 0.393 0.607 0.250
Bi: 0.607 0.393 0.750
Te: 0.111 0.889 0.250
Te: 0.889 0.111 0.750
C: 0.246 0.754 0.750
C: 0.754 0.246 0.250

# 9
Entry from the Alexandria database: a relaxed Ti3ZnN crystal (PBE).

Formation energy from raw total energies in eV per atom: -0.5538
SG: No. 12
Fermi-level density of states in states/eV/atom: 0.879
Magnetization in μB/f.u.: 0.0
Density in g/cm3: 4.90

Cell: 8.898 8.898 5.624 Å, 96.12 96.12 19.95°
Positions (direct):
Ti: 0.067 0.067 0.376
Ti: 0.182 0.182 0.039
Ti: 0.303 0.303 0.387
Ti: 0.697 0.697 0.613
Ti: 0.818 0.818 0.961
Ti: 0.933 0.933 0.624
Zn: 0.443 0.443 0.161
Zn: 0.557 0.557 0.839
N: 0.184 0.184 0.389
N: 0.816 0.816 0.611

# 10
Entry from the Alexandria database: a relaxed AcPr5Tl4 crystal (PBE).

ΔH_f (0 K) in meV per atom: -306.7
SG: No. 123
Fermi-level density of states in states/eV/atom: 1.157
Magnetization in μB/f.u.: 0.0
Density in g/cm3: 9.02

Cell: 3.743 3.743 22.973 Å, 90.00 90.00 90.00°
Positions (direct):
Ac: 0.000 0.000 0.000
Pr: 0.500 0.500 0.121
Pr: 0.500 0.500 0.310
Pr: 0.500 0.500 0.500
Pr: 0.500 0.500 0.690
Pr: 0.500 0.500 0.879
Tl: 0.000 0.000 0.214
Tl: 0.000 0.000 0.405
Tl: 0.000 0.000 0.595
Tl: 0.000 0.000 0.786

# 11
Entry from the Alexandria database: a relaxed CoRe2Mo crystal (PBE).

ΔH_f (0 K) in meV per atom: 769.0
SG: No. 122
Fermi-level density of states in states/eV/atom: 1.217
Magnetization in μB/f.u.: 0.0
Density in g/cm3: 13.96

Cell: 3.796 3.796 17.403 Å, 90.00 90.00 90.00°
Positions (direct):
Co: 0.000 0.000 0.000
Co: 0.000 0.500 0.250
Co: 0.500 0.000 0.750
Co: 0.500 0.500 0.500
Re: 0.210 0.250 0.125
Re: 0.250 0.710 0.375
Re: 0.250 0.790 0.875
Re: 0.290 0.250 0.625
Re: 0.710 0.750 0.625
Re: 0.750 0.210 0.875
Re: 0.750 0.290 0.375
Re: 0.790 0.750 0.125
Mo: 0.000 0.000 0.500
Mo: 0.000 0.500 0.750
Mo: 0.500 0.000 0.250
Mo: 0.500 0.500 0.000

# 12
Entry from the Alexandria database: a relaxed Dy2HfCo9 crystal (PBE).

ΔH_f (0 K) in meV per atom: -173.6
SG: No. 166
Fermi-level density of states in states/eV/atom: 1.273
Magnetization in μB/f.u.: 9.8
Density in g/cm3: 10.23

Cell: 8.653 8.653 8.653 Å, 32.66 32.66 32.66°
Positions (direct):
Dy: 0.139 0.139 0.139
Dy: 0.861 0.861 0.861
Hf: 0.000 0.000 0.000
Co: 0.079 0.580 0.580
Co: 0.334 0.334 0.334
Co: 0.420 0.420 0.921
Co: 0.420 0.921 0.420
Co: 0.500 0.500 0.500
Co: 0.580 0.079 0.580
Co: 0.580 0.580 0.079
Co: 0.666 0.666 0.666
Co: 0.921 0.420 0.420